(1)
# meta-GGA SCAN NbAu3Se, single point on PBEsol structure
# **ΔE to the lowest computed polymorph**: 0.000 eV per atom
# **Calculated volume**: 22.0 Å³ per atom
# **Spin magnetization**: 3.050 μB per formula unit
# **DFT total energy**: -51.214 eV/atom
# **E_form (uncorrected)**: 0.92 eV/atom
data_NbAu3Se
_space_group_name_H-M_alt 'P m -3 m'
_space_group_IT_number 221
_space_group_name_Hall '-P 4 2 3'
_cell_length_a 4.7939
_cell_length_b 4.7939
_cell_length_c 4.7939
_cell_angle_alpha 90.00
_cell_angle_beta 90.00
_cell_angle_gamma 90.00
loop_
_atom_site_label
_atom_site_type_symbol
_atom_site_fract_x
_atom_site_fract_y
_atom_site_fract_z
Nb1 Nb 0.0000 0.0000 0.0000
Au1 Au 0.0000 0.5000 0.5000
Se1 Se 0.5000 0.5000 0.5000


(2)
# meta-GGA SCAN NbAu3Se, single point on PBEsol structure
# **ΔE to the lowest computed polymorph**: 0.213 eV per atom
# **Calculated volume**: 25.4 Å³ per atom
# **Spin magnetization**: 0.001 μB per formula unit
# **DFT total energy**: -51.001 eV/atom
# **E_form (uncorrected)**: 1.13 eV/atom
data_NbAu3Se
_space_group_name_H-M_alt 'P m -3 m'
_space_group_IT_number 221
_space_group_name_Hall '-P 4 2 3'
_cell_length_a 5.0259
_cell_length_b 5.0259
_cell_length_c 5.0259
_cell_angle_alpha 90.00
_cell_angle_beta 90.00
_cell_angle_gamma 90.00
loop_
_atom_site_label
_atom_site_type_symbol
_atom_site_fract_x
_atom_site_fract_y
_atom_site_fract_z
Nb1 Nb 0.0000 0.0000 0.0000
Au1 Au 0.0000 0.0000 0.5000
Se1 Se 0.5000 0.5000 0.5000


(3)
# meta-GGA SCAN NbSnAuSe2, single point on PBEsol structure
# **Calculated volume**: 25.7 Å³ per atom
# **Spin magnetization**: 3.056 μB per formula unit
# **DFT total energy**: -34.829 eV/atom
# **E_form (uncorrected)**: 0.84 eV/atom
data_NbSnAuSe2
_space_group_name_H-M_alt 'P 4/m m m'
_space_group_IT_number 123
_space_group_name_Hall '-P 4 2'
_cell_length_a 5.0229
_cell_length_b 5.0229
_cell_length_c 5.0836
_cell_angle_alpha 90.00
_cell_angle_beta 90.00
_cell_angle_gamma 90.00
loop_
_atom_site_label
_atom_site_type_symbol
_atom_site_fract_x
_atom_site_fract_y
_atom_site_fract_z
Nb1 Nb 0.0000 0.0000 0.0000
Sn1 Sn 0.5000 0.5000 0.0000
Au1 Au 0.5000 0.5000 0.5000
Se1 Se 0.0000 0.5000 0.5000


(4)
# meta-GGA SCAN NbSi3Au, single point on PBEsol structure
# **Calculated volume**: 22.2 Å³ per atom
# **Spin magnetization**: 0.001 μB per formula unit
# **DFT total energy**: -25.479 eV/atom
# **E_form (uncorrected)**: 0.99 eV/atom
data_NbSi3Au
_space_group_name_H-M_alt 'P m -3 m'
_space_group_IT_number 221
_space_group_name_Hall '-P 4 2 3'
_cell_length_a 4.8049
_cell_length_b 4.8049
_cell_length_c 4.8049
_cell_angle_alpha 90.00
_cell_angle_beta 90.00
_cell_angle_gamma 90.00
loop_
_atom_site_label
_atom_site_type_symbol
_atom_site_fract_x
_atom_site_fract_y
_atom_site_fract_z
Nb1 Nb 0.0000 0.0000 0.0000
Si1 Si 0.0000 0.0000 0.5000
Au1 Au 0.5000 0.5000 0.5000


(5)
# meta-GGA SCAN Sr2NbSiAu, single point on PBEsol structure
# **Calculated volume**: 32.2 Å³ per atom
# **Spin magnetization**: 1.004 μB per formula unit
# **DFT total energy**: -30.367 eV/atom
# **E_form (uncorrected)**: 1.00 eV/atom
data_Sr2NbSiAu
_space_group_name_H-M_alt 'P 4/m m m'
_space_group_IT_number 123
_space_group_name_Hall '-P 4 2'
_cell_length_a 5.7105
_cell_length_b 5.7105
_cell_length_c 4.9323
_cell_angle_alpha 90.00
_cell_angle_beta 90.00
_cell_angle_gamma 90.00
loop_
_atom_site_label
_atom_site_type_symbol
_atom_site_fract_x
_atom_site_fract_y
_atom_site_fract_z
Sr1 Sr 0.0000 0.5000 0.0000
Nb1 Nb 0.0000 0.0000 0.0000
Si1 Si 0.5000 0.5000 0.5000
Au1 Au 0.0000 0.0000 0.5000


(6)
# meta-GGA SCAN SrYNb2Au, single point on PBEsol structure
# **Energy of formation from the pure elements**: 378 kJ/mol of formula units
# **Calculated volume**: 28.2 Å³ per atom
# **Spin magnetization**: 1.063 μB per formula unit
# **DFT total energy**: -36.323 eV/atom
data_SrYNb2Au
_space_group_name_H-M_alt 'P 4/m m m'
_space_group_IT_number 123
_space_group_name_Hall '-P 4 2'
_cell_length_a 5.0713
_cell_length_b 5.0713
_cell_length_c 5.4891
_cell_angle_alpha 90.00
_cell_angle_beta 90.00
_cell_angle_gamma 90.00
loop_
_atom_site_label
_atom_site_type_symbol
_atom_site_fract_x
_atom_site_fract_y
_atom_site_fract_z
Sr1 Sr 0.0000 0.0000 0.0000
Y1 Y 0.5000 0.5000 0.0000
Nb1 Nb 0.0000 0.5000 0.5000
Au1 Au 0.0000 0.0000 0.5000


(7)
# meta-GGA SCAN TaNbAu3, single point on PBEsol structure
# **Energy of formation from the pure elements**: 562 kJ/mol of formula units
# **Calculated volume**: 24.1 Å³ per atom
# **Spin magnetization**: 3.123 μB per formula unit
# **DFT total energy**: -60.271 eV/atom
data_TaNbAu3
_space_group_name_H-M_alt 'P m -3 m'
_space_group_IT_number 221
_space_group_name_Hall '-P 4 2 3'
_cell_length_a 4.9414
_cell_length_b 4.9414
_cell_length_c 4.9414
_cell_angle_alpha 90.00
_cell_angle_beta 90.00
_cell_angle_gamma 90.00
loop_
_atom_site_label
_atom_site_type_symbol
_atom_site_fract_x
_atom_site_fract_y
_atom_site_fract_z
Ta1 Ta 0.0000 0.0000 0.0000
Nb1 Nb 0.5000 0.5000 0.5000
Au1 Au 0.0000 0.0000 0.5000


(8)
# meta-GGA SCAN NbTe2Au, single point on PBEsol structure
# **Calculated volume**: 24.8 Å³ per atom
# **Spin magnetization**: 1.187 μB per formula unit
# **DFT total energy**: -43.590 eV/atom
# **E_form (uncorrected)**: 0.61 eV/atom
data_NbTe2Au
_space_group_name_H-M_alt 'R -3 m'
_space_group_IT_number 166
_space_group_name_Hall '-R 3 2"'
_cell_length_a 3.5509
_cell_length_b 3.5509
_cell_length_c 27.2262
_cell_angle_alpha 90.00
_cell_angle_beta 90.00
_cell_angle_gamma 120.00
loop_
_atom_site_label
_atom_site_type_symbol
_atom_site_fract_x
_atom_site_fract_y
_atom_site_fract_z
Nb1 Nb 0.0000 0.0000 0.0000
Te1 Te 0.0000 0.0000 0.0966
Au1 Au 0.0000 0.0000 0.5000


(9)
# meta-GGA SCAN TiNb3Au, single point on PBEsol structure
# **Energy of formation from the pure elements**: 672 kJ/mol of formula units
# **ΔE to the lowest computed polymorph**: 0.278 eV per atom
# **Calculated volume**: 23.4 Å³ per atom
# **Spin magnetization**: 1.496 μB per formula unit
# **DFT total energy**: -35.522 eV/atom
data_TiNb3Au
_space_group_name_H-M_alt 'P m -3 m'
_space_group_IT_number 221
_space_group_name_Hall '-P 4 2 3'
_cell_length_a 4.8892
_cell_length_b 4.8892
_cell_length_c 4.8892
_cell_angle_alpha 90.00
_cell_angle_beta 90.00
_cell_angle_gamma 90.00
loop_
_atom_site_label
_atom_site_type_symbol
_atom_site_fract_x
_atom_site_fract_y
_atom_site_fract_z
Ti1 Ti 0.0000 0.0000 0.0000
Nb1 Nb 0.0000 0.5000 0.5000
Au1 Au 0.5000 0.5000 0.5000


(10)
# meta-GGA SCAN TiNb3Au, single point on PBEsol structure
# **Energy of formation from the pure elements**: 538 kJ/mol of formula units
# **ΔE to the lowest computed polymorph**: 0.000 eV per atom
# **Calculated volume**: 19.3 Å³ per atom
# **Spin magnetization**: 0.000 μB per formula unit
# **DFT total energy**: -35.800 eV/atom
data_TiNb3Au
_space_group_name_H-M_alt 'P m -3 m'
_space_group_IT_number 221
_space_group_name_Hall '-P 4 2 3'
_cell_length_a 4.5888
_cell_length_b 4.5888
_cell_length_c 4.5888
_cell_angle_alpha 90.00
_cell_angle_beta 90.00
_cell_angle_gamma 90.00
loop_
_atom_site_label
_atom_site_type_symbol
_atom_site_fract_x
_atom_site_fract_y
_atom_site_fract_z
Ti1 Ti 0.0000 0.0000 0.0000
Nb1 Nb 0.0000 0.0000 0.5000
Au1 Au 0.5000 0.5000 0.5000


(11)
# meta-GGA SCAN Ti2NbAu, single point on PBEsol structure
# **Energy of formation from the pure elements**: -154 kJ/mol of formula units
# **Calculated volume**: 16.1 Å³ per atom
# **Spin magnetization**: 0.000 μB per formula unit
# **DFT total energy**: -33.985 eV/atom
data_Ti2NbAu
_space_group_name_H-M_alt 'F m -3 m'
_space_group_IT_number 225
_space_group_name_Hall '-F 4 2 3'
_cell_length_a 6.3643
_cell_length_b 6.3643
_cell_length_c 6.3643
_cell_angle_alpha 90.00
_cell_angle_beta 90.00
_cell_angle_gamma 90.00
loop_
_atom_site_label
_atom_site_type_symbol
_atom_site_fract_x
_atom_site_fract_y
_atom_site_fract_z
Ti1 Ti 0.2500 0.2500 0.2500
Nb1 Nb 0.0000 0.0000 0.0000
Au1 Au 0.0000 0.0000 0.5000


(12)
# meta-GGA SCAN NbTl3Au, single point on PBEsol structure
# **Energy of formation from the pure elements**: 464 kJ/mol of formula units
# **Calculated volume**: 30.1 Å³ per atom
# **Spin magnetization**: 4.388 μB per formula unit
# **DFT total energy**: -62.911 eV/atom
data_NbTl3Au
_space_group_name_H-M_alt 'P m -3 m'
_space_group_IT_number 221
_space_group_name_Hall '-P 4 2 3'
_cell_length_a 5.3199
_cell_length_b 5.3199
_cell_length_c 5.3199
_cell_angle_alpha 90.00
_cell_angle_beta 90.00
_cell_angle_gamma 90.00
loop_
_atom_site_label
_atom_site_type_symbol
_atom_site_fract_x
_atom_site_fract_y
_atom_site_fract_z
Nb1 Nb 0.0000 0.0000 0.0000
Tl1 Tl 0.0000 0.5000 0.5000
Au1 Au 0.5000 0.5000 0.5000